1.
Hg2MoCl: relaxed, PBE.

The calculation puts the total energy at -3.07 eV/atom. The total magnetization comes out at 0.0 μB per cell. Its density of states at the Fermi level is 3.3 states/eV/f.u. As for the relative energy among the computed polymorphs: 0.085 eV/atom. The energy relative to the elements, uncorrected is 0.25 eV/atom.

The structure belongs to space group P4mm (No. 99); the cell edges are 3.005, 3.005 and 10.030 Å and the angles 90.00°, 90.00° and 90.00°. The asymmetric unit holds Hg at (0.000, 0.000, 0.000), Hg at (0.500, 0.500, 0.288), Mo at (0.000, 0.000, 0.500) and Cl at (0.500, 0.500, 0.638).

2.
HfMnH2: relaxed, PBE.

The calculation puts the total energy at -6.65 eV/atom. The total magnetization comes out at 3.7 μB per cell. Its density of states at the Fermi level is 2.1 states/eV/f.u. As for the relative energy among the computed polymorphs: 0.000 eV/atom.

The structure belongs to space group P-1 (No. 2); the cell edges are 3.451, 4.555 and 5.493 Å and the angles 109.96°, 108.18° and 90.11°. The asymmetric unit holds Hf at (0.113, 0.345, 0.224), Mn at (0.362, 0.110, 0.723), H at (0.102, 0.838, 0.203) and H at (0.314, 0.437, 0.629).

What did the first record say?
Hg2MoCl: relaxed, PBE.

The calculation puts the total energy at -3.07 eV/atom. The total magnetization comes out at 0.0 μB per cell. Its density of states at the Fermi level is 3.3 states/eV/f.u. As for the relative energy among the computed polymorphs: 0.085 eV/atom. The energy relative to the elements, uncorrected is 0.25 eV/atom.

The structure belongs to space group P4mm (No. 99); the cell edges are 3.005, 3.005 and 10.030 Å and the angles 90.00°, 90.00° and 90.00°. The asymmetric unit holds Hg at (0.000, 0.000, 0.000), Hg at (0.500, 0.500, 0.288), Mo at (0.000, 0.000, 0.500) and Cl at (0.500, 0.500, 0.638).